1.
VASP calculation (PBE) on Mn4Cu5 after structural relaxation.

Formation energy = 0.18 eV per atom
Fermi-level density of states = 5.889 states/eV per cell

a = 5.844 Å, b = 5.844 Å, c = 5.844 Å
α = 96.12°, β = 96.12°, γ = 141.89°
Sites, in units of the cell vectors:
Mn (0.000, 0.328, 0.328)
Mn (0.000, 0.672, 0.672)
Mn (0.328, 0.000, 0.328)
Mn (0.672, 0.000, 0.672)
Cu (0.000, 0.000, 0.000)
Cu (0.334, 0.334, 0.669)
Cu (0.334, 0.666, 0.000)
Cu (0.666, 0.334, 0.000)
Cu (0.666, 0.666, 0.331)

=====

2.
VASP calculation (PBE) on K2HgMoPt after structural relaxation.

Formation energy = 1.39 eV per atom
Fermi-level density of states = 2.501 states/eV per cell

a = 6.291 Å, b = 6.291 Å, c = 5.382 Å
α = 90.00°, β = 90.00°, γ = 90.00°
Sites, in units of the cell vectors:
K (0.000, 0.500, 0.000)
K (0.500, 0.000, 0.000)
Hg (0.000, 0.000, 0.500)
Mo (0.000, 0.000, 0.000)
Pt (0.500, 0.500, 0.500)

=====

3.
VASP calculation (PBE) on Pa2TcOs after structural relaxation.

Formation energy = -0.05 eV per atom
Fermi-level density of states = 10.202 states/eV per cell

a = 4.759 Å, b = 4.970 Å, c = 7.385 Å
α = 82.76°, β = 89.63°, γ = 89.89°
Sites, in units of the cell vectors:
Pa (0.002, 0.004, 0.254)
Pa (0.496, 0.549, 0.801)
Pa (0.504, 0.451, 0.199)
Pa (0.998, 0.996, 0.746)
Tc (0.500, 0.225, 0.560)
Tc (0.500, 0.775, 0.440)
Os (0.000, 0.500, 0.500)
Os (0.500, 0.000, 0.000)

=====

4.
VASP calculation (PBE) on Sr2YCoCu after structural relaxation.

Formation energy = 0.64 eV per atom
Fermi-level density of states = 5.286 states/eV per cell

a = 5.747 Å, b = 5.747 Å, c = 5.321 Å
α = 90.00°, β = 90.00°, γ = 90.00°
Sites, in units of the cell vectors:
Sr (0.000, 0.500, 0.000)
Sr (0.500, 0.000, 0.000)
Y (0.000, 0.000, 0.500)
Co (0.500, 0.500, 0.500)
Cu (0.000, 0.000, 0.000)

=====

5.
VASP calculation (PBE) on Nd2YHoSc after structural relaxation.

Formation energy = 0.37 eV per atom
Fermi-level density of states = 13.366 states/eV per cell

a = 7.024 Å, b = 7.024 Å, c = 7.187 Å
α = 90.00°, β = 90.00°, γ = 108.75°
Sites, in units of the cell vectors:
Nd (0.200, 0.200, 0.000)
Nd (0.200, 0.200, 0.500)
Nd (0.800, 0.800, 0.000)
Nd (0.800, 0.800, 0.500)
Y (0.246, 0.754, 0.750)
Y (0.754, 0.246, 0.250)
Ho (0.222, 0.778, 0.250)
Ho (0.778, 0.222, 0.750)
Sc (0.482, 0.518, 0.250)
Sc (0.518, 0.482, 0.750)